Record 1
This record from Alexandria describes a geometry-optimized Co2AgSn2 structure. The functional is PBE.

```
data_Co2AgSn2
_chemical_formula_sum 'Co4 Ag2 Sn4'
_cell_length_a 7.260
_cell_length_b 7.260
_cell_length_c 3.093
_cell_angle_alpha 90.00
_cell_angle_beta 90.00
_cell_angle_gamma 90.00
_space_group_name_H-M_alt 'P 1'
_space_group_IT_number 1
loop_
_space_group_symop_operation_xyz
'x,y,z'
loop_
_atom_site_label
_atom_site_fract_x
_atom_site_fract_y
_atom_site_fract_z
_atom_site_occupancy
Co1 0.134 0.366 0.000 1
Co2 0.366 0.866 0.000 1
Co3 0.634 0.134 0.000 1
Co4 0.866 0.634 0.000 1
Ag1 0.000 0.000 0.000 1
Ag2 0.500 0.500 0.000 1
Sn1 0.162 0.662 0.500 1
Sn2 0.338 0.162 0.500 1
Sn3 0.662 0.838 0.500 1
Sn4 0.838 0.338 0.500 1
```

Computed properties:
Total magnetization in μB per formula unit: 0.49
Symmetry: No. 127
ΔH_f (0 K) in meV/atom: 60
Volume in Å³/atom: 16.3
Density of states at the Fermi level in states/eV per cell: 5.79


Record 2
This record from Alexandria describes a geometry-optimized Zr2TaSe6 structure. The functional is PBE.

```
data_Zr2TaSe6
_chemical_formula_sum 'Zr4 Ta2 Se12'
_cell_length_a 6.371
_cell_length_b 6.765
_cell_length_c 11.441
_cell_angle_alpha 90.00
_cell_angle_beta 122.68
_cell_angle_gamma 90.00
_space_group_name_H-M_alt 'P 1'
_space_group_IT_number 1
loop_
_space_group_symop_operation_xyz
'x,y,z'
loop_
_atom_site_label
_atom_site_fract_x
_atom_site_fract_y
_atom_site_fract_z
_atom_site_occupancy
Zr1 0.176 0.135 0.239 1
Zr2 0.176 0.365 0.739 1
Zr3 0.824 0.635 0.261 1
Zr4 0.824 0.865 0.761 1
Ta1 0.500 0.000 0.000 1
Ta2 0.500 0.500 0.500 1
Se1 0.090 0.185 0.927 1
Se2 0.090 0.315 0.427 1
Se3 0.254 0.665 0.926 1
Se4 0.254 0.835 0.426 1
Se5 0.428 0.041 0.756 1
Se6 0.428 0.459 0.256 1
Se7 0.572 0.541 0.744 1
Se8 0.572 0.959 0.244 1
Se9 0.746 0.165 0.574 1
Se10 0.746 0.335 0.074 1
Se11 0.910 0.685 0.573 1
Se12 0.910 0.815 0.073 1
```

Computed properties:
Total magnetization in μB per formula unit: 0.71
Symmetry: No. 14
Volume in Å³/atom: 23.1
Formation energy from raw total energies in meV per atom: -979
Density of states at the Fermi level in states/eV per cell: 9.13


Record 3
This record from Alexandria describes a geometry-optimized Tb2YSc6 structure. The functional is PBE.

```
data_Tb2YSc6
_chemical_formula_sum 'Tb2 Y1 Sc6'
_cell_length_a 9.208
_cell_length_b 9.208
_cell_length_c 3.290
_cell_angle_alpha 90.09
_cell_angle_beta 90.09
_cell_angle_gamma 60.00
_space_group_name_H-M_alt 'P 1'
_space_group_IT_number 1
loop_
_space_group_symop_operation_xyz
'x,y,z'
loop_
_atom_site_label
_atom_site_fract_x
_atom_site_fract_y
_atom_site_fract_z
_atom_site_occupancy
Tb1 0.167 0.167 0.000 1
Tb2 0.833 0.833 0.000 1
Y1 0.500 0.500 0.000 1
Sc1 0.167 0.500 0.501 1
Sc2 0.167 0.833 0.500 1
Sc3 0.500 0.167 0.501 1
Sc4 0.500 0.833 0.499 1
Sc5 0.833 0.167 0.500 1
Sc6 0.833 0.500 0.499 1
```

Computed properties:
Total magnetization in μB per formula unit: 0.00
Symmetry: No. 12
ΔH_f (0 K) in meV/atom: 66
Volume in Å³/atom: 26.8
Density of states at the Fermi level in states/eV per cell: 18.30


Record 4
This record from Alexandria describes a geometry-optimized HgMoBr structure. The functional is PBE.

```
data_HgMoBr
_chemical_formula_sum 'Hg1 Mo1 Br1'
_cell_length_a 3.208
_cell_length_b 3.208
_cell_length_c 7.733
_cell_angle_alpha 90.00
_cell_angle_beta 90.00
_cell_angle_gamma 120.00
_space_group_name_H-M_alt 'P 1'
_space_group_IT_number 1
loop_
_space_group_symop_operation_xyz
'x,y,z'
loop_
_atom_site_label
_atom_site_fract_x
_atom_site_fract_y
_atom_site_fract_z
_atom_site_occupancy
Hg1 0.000 0.000 0.000 1
Mo1 0.333 0.667 0.298 1
Br1 0.667 0.333 0.522 1
```

Computed properties:
Total magnetization in μB per formula unit: 0.00
Symmetry: No. 156
Volume in Å³/atom: 23.0
Formation energy from raw total energies in meV per atom: 340
Density of states at the Fermi level in states/eV per cell: 2.13


Record 5
This record from Alexandria describes a geometry-optimized NdHoEr structure. The functional is PBE.

```
data_NdHoEr
_chemical_formula_sum 'Nd2 Ho2 Er2'
_cell_length_a 8.195
_cell_length_b 8.195
_cell_length_c 3.432
_cell_angle_alpha 90.00
_cell_angle_beta 90.00
_cell_angle_gamma 90.63
_space_group_name_H-M_alt 'P 1'
_space_group_IT_number 1
loop_
_space_group_symop_operation_xyz
'x,y,z'
loop_
_atom_site_label
_atom_site_fract_x
_atom_site_fract_y
_atom_site_fract_z
_atom_site_occupancy
Nd1 0.240 0.760 0.000 1
Nd2 0.760 0.240 0.000 1
Ho1 0.262 0.262 0.500 1
Ho2 0.738 0.738 0.500 1
Er1 0.000 0.000 0.500 1
Er2 0.500 0.500 0.000 1
```

Computed properties:
Total magnetization in μB per formula unit: 0.00
Symmetry: No. 65
ΔH_f (0 K) in meV/atom: 664
Volume in Å³/atom: 38.4
Density of states at the Fermi level in states/eV per cell: 8.60


Record 6
This record from Alexandria describes a geometry-optimized La2Nd2SmDy structure. The functional is PBE.

```
data_La2Nd2SmDy
_chemical_formula_sum 'La4 Nd4 Sm2 Dy2'
_cell_length_a 7.161
_cell_length_b 5.805
_cell_length_c 10.034
_cell_angle_alpha 90.00
_cell_angle_beta 90.00
_cell_angle_gamma 90.00
_space_group_name_H-M_alt 'P 1'
_space_group_IT_number 1
loop_
_space_group_symop_operation_xyz
'x,y,z'
loop_
_atom_site_label
_atom_site_fract_x
_atom_site_fract_y
_atom_site_fract_z
_atom_site_occupancy
La1 0.000 0.000 0.000 1
La2 0.250 0.500 0.175 1
La3 0.500 0.000 0.000 1
La4 0.750 0.500 0.825 1
Nd1 0.250 0.000 0.333 1
Nd2 0.250 0.500 0.835 1
Nd3 0.750 0.000 0.667 1
Nd4 0.750 0.500 0.165 1
Sm1 0.250 0.000 0.659 1
Sm2 0.750 0.000 0.341 1
Dy1 0.000 0.500 0.500 1
Dy2 0.500 0.500 0.500 1
```

Computed properties:
Total magnetization in μB per formula unit: 0.00
Symmetry: No. 51
ΔH_f (0 K) in meV/atom: 50
Volume in Å³/atom: 34.8
Density of states at the Fermi level in states/eV per cell: 18.68